Record 1
# PBEsol NaUBO5, relaxed
# total moment	0.0	μB per formula unit
# formation energy without anion corrections	-2695	meV per atom
# volume	13.234	A^3/atom
data_NaUBO5
_chemical_formula_sum 'Na4 U4 B4 O20'
_space_group_name_H-M_alt 'P b c m'
_space_group_IT_number 57
_space_group_name_Hall '-P 2c 2b'
_cell_length_a 5.8583
_cell_length_b 10.5934
_cell_length_c 6.8238
_cell_angle_alpha 90.00
_cell_angle_beta 90.00
_cell_angle_gamma 90.00
loop_
_atom_site_label
_atom_site_type_symbol
_atom_site_fract_x
_atom_site_fract_y
_atom_site_fract_z
Na1 Na 0.1084 0.2500 0.0000
U1 U 0.3998 0.5655 0.2500
B1 B 0.2984 0.6495 0.7500
O1 O 0.1588 0.0452 0.7500
O2 O 0.1798 0.7390 0.2500
O3 O 0.3529 0.1739 0.2500
O4 O 0.3680 0.5882 0.5813

***

Record 2
# PBEsol Na3VB2O6, relaxed
# total moment	2.0	μB per formula unit
# formation energy without anion corrections	-2141	meV per atom
# volume	10.564	A^3/atom
data_Na3VB2O6
_chemical_formula_sum 'Na12 V4 B8 O24'
_space_group_name_H-M_alt 'P 1 21/c 1'
_space_group_IT_number 14
_space_group_name_Hall '-P 2ybc'
_cell_length_a 5.5149
_cell_length_b 9.0765
_cell_length_c 11.2647
_cell_angle_alpha 90.00
_cell_angle_beta 115.94
_cell_angle_gamma 90.00
loop_
_atom_site_label
_atom_site_type_symbol
_atom_site_fract_x
_atom_site_fract_y
_atom_site_fract_z
Na1 Na 0.0257 0.0637 0.3855
Na2 Na 0.0442 0.1218 0.8765
Na3 Na 0.4692 0.5515 0.6317
V1 V 0.4628 0.7192 0.8771
B1 B 0.0323 0.7023 0.3808
B2 B 0.4616 0.6351 0.1339
O1 O 0.0833 0.6602 0.8439
O2 O 0.1856 0.1655 0.0968
O3 O 0.2401 0.6024 0.3975
O4 O 0.3337 0.7292 0.1883
O5 O 0.3944 0.1999 0.4267
O6 O 0.4204 0.0147 0.6373

***

Record 3
# PBEsol NaB3Os, relaxed
# total moment	0.0	μB per formula unit
# ΔE_f	0.504	eV per atom
# volume	13.830	A^3/atom
data_NaB3Os
_chemical_formula_sum 'Na1 B3 Os1'
_space_group_name_H-M_alt 'P m -3 m'
_space_group_IT_number 221
_space_group_name_Hall '-P 4 2 3'
_cell_length_a 4.1045
_cell_length_b 4.1045
_cell_length_c 4.1045
_cell_angle_alpha 90.00
_cell_angle_beta 90.00
_cell_angle_gamma 90.00
loop_
_atom_site_label
_atom_site_type_symbol
_atom_site_fract_x
_atom_site_fract_y
_atom_site_fract_z
Na1 Na 0.0000 0.0000 0.0000
B1 B 0.0000 0.5000 0.5000
Os1 Os 0.5000 0.5000 0.5000

***

Record 4
# PBEsol NaBP3, relaxed
# total moment	0.0	μB per formula unit
# ΔE_f	0.639	eV per atom
# volume	14.998	A^3/atom
data_NaBP3
_chemical_formula_sum 'Na1 B1 P3'
_space_group_name_H-M_alt 'P m -3 m'
_space_group_IT_number 221
_space_group_name_Hall '-P 4 2 3'
_cell_length_a 4.2170
_cell_length_b 4.2170
_cell_length_c 4.2170
_cell_angle_alpha 90.00
_cell_angle_beta 90.00
_cell_angle_gamma 90.00
loop_
_atom_site_label
_atom_site_type_symbol
_atom_site_fract_x
_atom_site_fract_y
_atom_site_fract_z
Na1 Na 0.0000 0.0000 0.0000
B1 B 0.5000 0.5000 0.5000
P1 P 0.0000 0.5000 0.5000

***

Record 5
# PBEsol Na3BP2, relaxed
# total moment	0.0	μB per formula unit
# ΔE_f	-0.282	eV per atom
# volume	22.392	A^3/atom
data_Na3BP2
_chemical_formula_sum 'Na12 B4 P8'
_space_group_name_H-M_alt 'P 1 21/c 1'
_space_group_IT_number 14
_space_group_name_Hall '-P 2ybc'
_cell_length_a 6.9054
_cell_length_b 9.2010
_cell_length_c 9.0413
_cell_angle_alpha 90.00
_cell_angle_beta 110.69
_cell_angle_gamma 90.00
loop_
_atom_site_label
_atom_site_type_symbol
_atom_site_fract_x
_atom_site_fract_y
_atom_site_fract_z
Na1 Na 0.2186 0.0263 0.3900
Na2 Na 0.2414 0.0682 0.9756
Na3 Na 0.2654 0.7154 0.1831
B1 B 0.2271 0.1710 0.6820
P1 P 0.0031 0.7236 0.3657
P2 P 0.4497 0.0581 0.7325

***

Record 6
# PBEsol NaB3Pd, relaxed
# total moment	0.0	μB per formula unit
# ΔE_f	1.221	eV per atom
# volume	13.836	A^3/atom
data_NaB3Pd
_chemical_formula_sum 'Na1 B3 Pd1'
_space_group_name_H-M_alt 'P m -3 m'
_space_group_IT_number 221
_space_group_name_Hall '-P 4 2 3'
_cell_length_a 4.1051
_cell_length_b 4.1051
_cell_length_c 4.1051
_cell_angle_alpha 90.00
_cell_angle_beta 90.00
_cell_angle_gamma 90.00
loop_
_atom_site_label
_atom_site_type_symbol
_atom_site_fract_x
_atom_site_fract_y
_atom_site_fract_z
Na1 Na 0.0000 0.0000 0.0000
B1 B 0.0000 0.5000 0.5000
Pd1 Pd 0.5000 0.5000 0.5000

***

Record 7
# PBEsol Na2BPd2, relaxed
# total moment	0.0	μB per formula unit
# ΔE_f	-0.159	eV per atom
# volume	15.754	A^3/atom
data_Na2BPd2
_chemical_formula_sum 'Na4 B2 Pd4'
_space_group_name_H-M_alt 'P 4/m b m'
_space_group_IT_number 127
_space_group_name_Hall '-P 4 2ab'
_cell_length_a 5.6223
_cell_length_b 5.6223
_cell_length_c 4.9837
_cell_angle_alpha 90.00
_cell_angle_beta 90.00
_cell_angle_gamma 90.00
loop_
_atom_site_label
_atom_site_type_symbol
_atom_site_fract_x
_atom_site_fract_y
_atom_site_fract_z
Na1 Na 0.1731 0.3269 0.0000
B1 B 0.0000 0.0000 0.5000
Pd1 Pd 0.1681 0.6681 0.5000

***

Record 8
# PBEsol NaBPd3, relaxed
# total moment	0.0	μB per formula unit
# ΔE_f	-0.266	eV per atom
# volume	14.356	A^3/atom
data_NaBPd3
_chemical_formula_sum 'Na1 B1 Pd3'
_space_group_name_H-M_alt 'P m -3 m'
_space_group_IT_number 221
_space_group_name_Hall '-P 4 2 3'
_cell_length_a 4.1560
_cell_length_b 4.1560
_cell_length_c 4.1560
_cell_angle_alpha 90.00
_cell_angle_beta 90.00
_cell_angle_gamma 90.00
loop_
_atom_site_label
_atom_site_type_symbol
_atom_site_fract_x
_atom_site_fract_y
_atom_site_fract_z
Na1 Na 0.0000 0.0000 0.0000
B1 B 0.5000 0.5000 0.5000
Pd1 Pd 0.0000 0.5000 0.5000